## 1
## TiBi3Cl (PBE)

Data for TiBi3Cl after structural relaxation.

Lattice parameters (Å, degrees): 5.403 5.403 5.403 90.00 90.00 90.00
Fractional positions:
Ti 0.000 0.000 0.000
Bi 0.000 0.500 0.500
Bi 0.500 0.000 0.500
Bi 0.500 0.500 0.000
Cl 0.500 0.500 0.500

Summary:
Space-group type: Pm-3m
Magnetic moment in μB/cell: 0.0

---

## 2
## TiBi3Cl (PBE)

Data for TiBi3Cl after structural relaxation.

Lattice parameters (Å, degrees): 5.370 5.370 5.370 90.00 90.00 90.00
Fractional positions:
Ti 0.000 0.000 0.000
Bi 0.000 0.000 0.500
Bi 0.000 0.500 0.000
Bi 0.500 0.000 0.000
Cl 0.500 0.500 0.500

Summary:
Space-group type: Pm-3m
Magnetic moment in μB/cell: 0.0

---

Name the most stable of them. 2.

---

## 1
## Tl3BiCl6 (PBE)

Data for Tl3BiCl6 after structural relaxation.

Lattice parameters (Å, degrees): 7.546 8.261 13.142 90.00 123.00 90.00
Fractional positions:
Tl 0.000 0.000 0.000
Tl 0.000 0.500 0.500
Tl 0.213 0.072 0.741
Tl 0.213 0.428 0.241
Tl 0.787 0.572 0.759
Tl 0.787 0.928 0.259
Bi 0.500 0.000 0.500
Bi 0.500 0.500 0.000
Cl 0.150 0.170 0.450
Cl 0.150 0.330 0.950
Cl 0.263 0.722 0.424
Cl 0.263 0.778 0.924
Cl 0.401 0.060 0.269
Cl 0.401 0.440 0.769
Cl 0.599 0.560 0.231
Cl 0.599 0.940 0.731
Cl 0.737 0.222 0.076
Cl 0.737 0.278 0.576
Cl 0.850 0.670 0.050
Cl 0.850 0.830 0.550

Summary:
Space-group type: P2_1/c
Magnetic moment in μB/cell: 0.0

---

## 2
## Tl3BiCl6 (PBE)

Data for Tl3BiCl6 after structural relaxation.

Lattice parameters (Å, degrees): 9.317 9.317 7.670 90.00 90.00 90.00
Fractional positions:
Tl 0.000 0.000 0.000
Tl 0.000 0.000 0.500
Tl 0.227 0.494 0.000
Tl 0.494 0.773 0.500
Tl 0.506 0.227 0.500
Tl 0.773 0.506 0.000
Bi 0.000 0.500 0.500
Bi 0.500 0.000 0.000
Cl 0.007 0.704 0.244
Cl 0.007 0.704 0.756
Cl 0.293 0.493 0.500
Cl 0.296 0.007 0.256
Cl 0.296 0.007 0.744
Cl 0.493 0.707 0.000
Cl 0.507 0.293 0.000
Cl 0.704 0.993 0.256
Cl 0.704 0.993 0.744
Cl 0.707 0.507 0.500
Cl 0.993 0.296 0.244
Cl 0.993 0.296 0.756

Summary:
Space-group type: P4_2/m
Magnetic moment in μB/cell: 0.0

---

Name the most stable of them. 1.

---

## 1
## TlBi3Cl (PBE)

Data for TlBi3Cl after structural relaxation.

Lattice parameters (Å, degrees): 5.873 5.873 5.873 90.00 90.00 90.00
Fractional positions:
Tl 0.000 0.000 0.000
Bi 0.000 0.000 0.500
Bi 0.000 0.500 0.000
Bi 0.500 0.000 0.000
Cl 0.500 0.500 0.500

Summary:
Space-group type: Pm-3m
Magnetic moment in μB/cell: 0.0

---

## 2
## TlBi3Cl (PBE)

Data for TlBi3Cl after structural relaxation.

Lattice parameters (Å, degrees): 5.645 5.645 5.645 90.00 90.00 90.00
Fractional positions:
Tl 0.000 0.000 0.000
Bi 0.000 0.500 0.500
Bi 0.500 0.000 0.500
Bi 0.500 0.500 0.000
Cl 0.500 0.500 0.500

Summary:
Space-group type: Pm-3m
Magnetic moment in μB/cell: 0.0

---

Name the most stable of them. 2.

---

## 1
## TlBiCl6 (PBE)

Data for TlBiCl6 after structural relaxation.

Lattice parameters (Å, degrees): 8.134 8.134 8.134 112.02 112.02 112.02
Fractional positions:
Tl 0.000 0.000 0.000
Bi 0.500 0.500 0.500
Cl 0.151 0.151 0.415
Cl 0.151 0.415 0.151
Cl 0.415 0.151 0.151
Cl 0.585 0.849 0.849
Cl 0.849 0.585 0.849
Cl 0.849 0.849 0.585

Summary:
Space-group type: R-3m
Magnetic moment in μB/cell: 0.0

---

## 2
## TlBiCl6 (PBE)

Data for TlBiCl6 after structural relaxation.

Lattice parameters (Å, degrees): 6.640 6.640 6.700 103.60 103.60 102.60
Fractional positions:
Tl 0.000 0.000 0.000
Bi 0.500 0.500 0.500
Cl 0.210 0.551 0.211
Cl 0.211 0.211 0.545
Cl 0.449 0.790 0.789
Cl 0.551 0.210 0.211
Cl 0.789 0.789 0.455
Cl 0.790 0.449 0.789

Summary:
Space-group type: C2/m
Magnetic moment in μB/cell: 0.0

---

Name the most stable of them. 1.

---

## 1
## Tl3BiCl (PBE)

Data for Tl3BiCl after structural relaxation.

Lattice parameters (Å, degrees): 6.314 6.314 6.314 90.00 90.00 90.00
Fractional positions:
Tl 0.000 0.000 0.500
Tl 0.000 0.500 0.000
Tl 0.500 0.000 0.000
Bi 0.000 0.000 0.000
Cl 0.500 0.500 0.500

Summary:
Space-group type: Pm-3m
Magnetic moment in μB/cell: 0.0

---

## 2
## Tl3BiCl (PBE)

Data for Tl3BiCl after structural relaxation.

Lattice parameters (Å, degrees): 5.791 5.791 5.791 90.00 90.00 90.00
Fractional positions:
Tl 0.000 0.000 0.500
Tl 0.000 0.500 0.000
Tl 0.500 0.000 0.000
Bi 0.500 0.500 0.500
Cl 0.000 0.000 0.000

Summary:
Space-group type: Pm-3m
Magnetic moment in μB/cell: 0.0

---

Name the most stable of them. 2.

---

## 1
## TlBi2Cl7 (PBE)

Data for TlBi2Cl7 after structural relaxation.

Lattice parameters (Å, degrees): 8.175 8.175 5.412 90.00 90.00 115.15
Fractional positions:
Tl 0.000 0.000 0.000
Bi 0.298 0.702 0.500
Bi 0.702 0.298 0.500
Cl 0.051 0.323 0.500
Cl 0.278 0.722 0.000
Cl 0.323 0.051 0.500
Cl 0.500 0.500 0.500
Cl 0.677 0.949 0.500
Cl 0.722 0.278 0.000
Cl 0.949 0.677 0.500

Summary:
Space-group type: Cmmm
Magnetic moment in μB/cell: 0.0

---

## 2
## TlBi2Cl7 (PBE)

Data for TlBi2Cl7 after structural relaxation.

Lattice parameters (Å, degrees): 7.437 8.804 11.105 76.34 71.65 72.34
Fractional positions:
Tl 0.036 0.173 0.130
Tl 0.964 0.827 0.870
Bi 0.305 0.636 0.153
Bi 0.448 0.257 0.525
Bi 0.552 0.743 0.475
Bi 0.695 0.364 0.847
Cl 0.073 0.267 0.795
Cl 0.237 0.357 0.356
Cl 0.277 0.470 0.983
Cl 0.290 0.965 0.606
Cl 0.310 0.880 0.969
Cl 0.313 0.567 0.626
Cl 0.317 0.845 0.300
Cl 0.683 0.155 0.700
Cl 0.687 0.433 0.374
Cl 0.690 0.120 0.031
Cl 0.710 0.035 0.394
Cl 0.723 0.530 0.017
Cl 0.763 0.643 0.644
Cl 0.927 0.733 0.205

Summary:
Space-group type: P-1
Magnetic moment in μB/cell: 0.0

---

Name the most stable of them. 2.

---

## 1
## Tl2BiCl6 (PBE)

Data for Tl2BiCl6 after structural relaxation.

Lattice parameters (Å, degrees): 6.940 6.940 12.903 90.00 90.00 90.00
Fractional positions:
Tl 0.000 0.000 0.164
Tl 0.000 0.000 0.836
Tl 0.500 0.500 0.336
Tl 0.500 0.500 0.664
Bi 0.000 0.000 0.500
Bi 0.500 0.500 0.000
Cl 0.193 0.193 0.346
Cl 0.193 0.193 0.654
Cl 0.224 0.224 0.000
Cl 0.276 0.724 0.500
Cl 0.307 0.693 0.154
Cl 0.307 0.693 0.846
Cl 0.693 0.307 0.154
Cl 0.693 0.307 0.846
Cl 0.724 0.276 0.500
Cl 0.776 0.776 0.000
Cl 0.807 0.807 0.346
Cl 0.807 0.807 0.654

Summary:
Space-group type: P4_2/mnm
Magnetic moment in μB/cell: 0.0

---

## 2
## Tl2BiCl6 (PBE)

Data for Tl2BiCl6 after structural relaxation.

Lattice parameters (Å, degrees): 7.627 7.627 6.764 100.93 100.93 120.04
Fractional positions:
Tl 0.167 0.833 0.000
Tl 0.833 0.167 0.000
Bi 0.500 0.500 0.000
Cl 0.118 0.418 0.755
Cl 0.280 0.280 0.241
Cl 0.418 0.118 0.755
Cl 0.582 0.882 0.245
Cl 0.720 0.720 0.759
Cl 0.882 0.582 0.245

Summary:
Space-group type: C2/m
Magnetic moment in μB/cell: 0.0

---

Name the most stable of them. 1.

---

## 1
## TmBiCl6 (PBE)

Data for TmBiCl6 after structural relaxation.

Lattice parameters (Å, degrees): 7.221 7.221 6.655 97.46 97.46 125.12
Fractional positions:
Tm 0.000 0.000 0.000
Bi 0.500 0.500 0.500
Cl 0.100 0.381 0.241
Cl 0.245 0.245 0.756
Cl 0.381 0.100 0.241
Cl 0.619 0.900 0.759
Cl 0.755 0.755 0.244
Cl 0.900 0.619 0.759

Summary:
Space-group type: C2/m
Magnetic moment in μB/cell: 0.0

---

## 2
## TmBiCl6 (PBE)

Data for TmBiCl6 after structural relaxation.

Lattice parameters (Å, degrees): 7.236 7.236 7.236 55.37 55.37 55.37
Fractional positions:
Tm 0.000 0.000 0.000
Bi 0.500 0.500 0.500
Cl 0.088 0.758 0.399
Cl 0.242 0.601 0.912
Cl 0.399 0.088 0.758
Cl 0.601 0.912 0.242
Cl 0.758 0.399 0.088
Cl 0.912 0.242 0.601

Summary:
Space-group type: R-3
Magnetic moment in μB/cell: 0.0

---

Name the most stable of them. 1.